Entry 1:
VASP calculation (PBE) on In2PIr after structural relaxation.

Calculated values
Energy of formation, eV/atom: 0.290

extended XYZ file:
```
4
Lattice="-2.145 2.145 3.972 2.145 -2.145 3.972 2.145 2.145 -3.972" Properties=species:S:1:pos:R:3 pbc="T T T"
In 2.145 0.000 1.986
In 0.000 2.145 1.986
P 0.000 0.000 0.000
Ir 0.000 0.000 3.972
```



Entry 2:
VASP calculation (PBE) on In2PIr after structural relaxation.

Calculated values
Energy of formation, eV/atom: 0.423

extended XYZ file:
```
4
Lattice="0.000 3.338 3.338 3.338 0.000 3.338 3.338 3.338 0.000" Properties=species:S:1:pos:R:3 pbc="T T T"
In 0.000 0.000 0.000
In 1.669 1.669 1.669
P 5.007 5.007 5.007
Ir 3.338 3.338 3.338
```



Entry 3:
VASP calculation (PBE) on InPIr2 after structural relaxation.

Calculated values
Polymorph energy (0 for the lowest one), eV/atom: 0.2545
Energy of formation, eV/atom: 0.125

extended XYZ file:
```
8
Lattice="-3.010 3.010 4.726 3.010 -3.010 4.726 3.010 3.010 -4.726" Properties=species:S:1:pos:R:3 pbc="T T T"
In 0.000 0.000 0.000
In 0.000 3.010 2.363
P 3.010 0.000 2.363
P 0.000 0.000 4.726
Ir 1.505 -1.131 3.545
Ir 1.879 1.505 1.182
Ir 1.505 4.141 -1.182
Ir 1.131 1.505 5.908
```



Entry 4:
VASP calculation (PBE) on InPIr2 after structural relaxation.

Calculated values
Polymorph energy (0 for the lowest one), eV/atom: 0.0000
Energy of formation, eV/atom: -0.129

extended XYZ file:
```
4
Lattice="7.194 -1.458 0.000 7.194 1.458 0.000 -0.725 0.000 3.191" Properties=species:S:1:pos:R:3 pbc="T T T"
In 0.000 0.000 0.000
P 3.180 0.000 2.417
Ir 8.592 0.000 2.002
Ir 11.712 0.000 1.044
```